Here is SrTaCu2Tc after structural relaxation from the Alexandria database. Energies are from PBE.

The structure belongs to space group P4/mmm (No. 123); the cell edges are 4.762, 4.762 and 4.980 Å and the angles 90.00°, 90.00° and 90.00°. The inequivalent atoms are Sr at (0.000, 0.000, 0.000), Ta at (0.500, 0.500, 0.000), Cu at (0.000, 0.500, 0.500) and Tc at (0.000, 0.000, 0.500).

As for the formation energy: 1.804 eV/atom. Its polymorph energy (0 for the lowest one) is 1.0008 eV/atom. Its total energy is -0.3392 Ry/atom.

---

Here is Sr2TaCuTc after structural relaxation from the Alexandria database. Energies are from PBE.

The structure belongs to space group P4/mmm (No. 123); the cell edges are 6.210, 6.210 and 4.555 Å and the angles 90.00°, 90.00° and 90.00°. The inequivalent atoms are Sr at (0.000, 0.500, 0.000), Ta at (0.000, 0.000, 0.000), Cu at (0.500, 0.500, 0.500) and Tc at (0.000, 0.000, 0.500).

As for the formation energy: 1.216 eV/atom. Its total energy is -0.3469 Ry/atom.

---

Here is SrTaCu2Tc after structural relaxation from the Alexandria database. Energies are from PBE.

The structure belongs to space group P4/mmm (No. 123); the cell edges are 4.990, 4.990 and 4.687 Å and the angles 90.00°, 90.00° and 90.00°. The inequivalent atoms are Sr at (0.000, 0.000, 0.000), Ta at (0.500, 0.500, 0.500), Cu at (0.000, 0.500, 0.500) and Tc at (0.500, 0.500, 0.000).

As for the formation energy: 0.803 eV/atom. Its polymorph energy (0 for the lowest one) is 0.0000 eV/atom. Its total energy is -0.4128 Ry/atom.

---

Here is SrTaZnCu2 after structural relaxation from the Alexandria database. Energies are from PBE.

The structure belongs to space group P4/mmm (No. 123); the cell edges are 4.866, 4.866 and 5.956 Å and the angles 90.00°, 90.00° and 90.00°. The inequivalent atoms are Sr at (0.000, 0.000, 0.000), Ta at (0.000, 0.000, 0.500), Zn at (0.500, 0.500, 0.000) and Cu at (0.000, 0.500, 0.500).

As for the formation energy: 1.253 eV/atom. Its total energy is -0.2460 Ry/atom.

---

Here is Sr2TbCu9 after structural relaxation from the Alexandria database. Energies are from PBE.

The structure belongs to space group R-3m (No. 166, hexagonal axes); the cell edges are 5.2347, 5.2347 and 26.1266 Å and the angles 90.00°, 90.00° and 120.00°. The inequivalent atoms are Sr at (0.0000, 0.0000, 0.1400), Tb at (0.0000, 0.0000, 0.0000), Cu at (0.0000, 0.0000, 0.3316), Cu at (0.0000, 0.0000, 0.5000) and Cu at (0.0059, 0.5030, 0.0770).

As for the formation energy: -0.059 eV/atom. Its total energy is -0.2791 Ry/atom.

---

Here is Sr2TbCu after structural relaxation from the Alexandria database. Energies are from PBE.

The structure belongs to space group R-3m (No. 166, hexagonal axes); the cell edges are 3.9007, 3.9007 and 34.1535 Å and the angles 90.00°, 90.00° and 120.00°. The inequivalent atoms are Sr at (0.0000, 0.0000, 0.1072), Tb at (0.0000, 0.0000, 0.0000) and Cu at (0.0000, 0.0000, 0.5000).

As for the formation energy: 0.370 eV/atom. Its total energy is -0.1950 Ry/atom.

---

Here is SrTbCu4 after structural relaxation from the Alexandria database. Energies are from PBE.

The structure belongs to space group F-43m (No. 216); the cell edges are 7.611, 7.611 and 7.611 Å and the angles 90.00°, 90.00° and 90.00°. The inequivalent atoms are Sr at (0.000, 0.000, 0.000), Tb at (0.250, 0.250, 0.750) and Cu at (0.124, 0.124, 0.376).

As for the formation energy: 0.000 eV/atom. Its total energy is -0.2780 Ry/atom.

---

Here is SrTb2Cu after structural relaxation from the Alexandria database. Energies are from PBE.

The structure belongs to space group R-3m (No. 166, hexagonal axes); the cell edges are 3.8070, 3.8070 and 32.4291 Å and the angles 90.00°, 90.00° and 120.00°. The inequivalent atoms are Sr at (0.0000, 0.0000, 0.0000), Tb at (0.0000, 0.0000, 0.1124) and Cu at (0.0000, 0.0000, 0.5000).

As for the formation energy: 0.214 eV/atom. Its polymorph energy (0 for the lowest one) is 0.2001 eV/atom. Its total energy is -0.2606 Ry/atom.

---

Here is SrTbCu after structural relaxation from the Alexandria database. Energies are from PBE.

The structure belongs to space group I4mm (No. 107); the cell edges are 3.665, 3.665 and 13.235 Å and the angles 90.00°, 90.00° and 90.00°. The inequivalent atoms are Sr at (0.000, 0.000, 0.000), Tb at (0.000, 0.000, 0.266) and Cu at (0.000, 0.000, 0.662).

As for the formation energy: -0.022 eV/atom. Its polymorph energy (0 for the lowest one) is 0.0000 eV/atom. Its total energy is -0.2566 Ry/atom.

---

Here is SrTbCu after structural relaxation from the Alexandria database. Energies are from PBE.

The structure belongs to space group Amm2 (No. 38); the cell edges are 14.501, 3.903 and 6.770 Å and the angles 90.00°, 90.00° and 90.00°. The inequivalent atoms are Sr at (0.146, 0.000, 0.000), Tb at (0.376, 0.000, 0.332), Cu at (0.000, 0.000, 0.333) and Cu at (0.500, 0.000, 0.999).

As for the formation energy: 0.113 eV/atom. Its polymorph energy (0 for the lowest one) is 0.1349 eV/atom. Its total energy is -0.2467 Ry/atom.

---

Here is SrTb2Cu after structural relaxation from the Alexandria database. Energies are from PBE.

The structure belongs to space group P4/mmm (No. 123); the cell edges are 3.596, 3.596 and 9.555 Å and the angles 90.00°, 90.00° and 90.00°. The inequivalent atoms are Sr at (0.000, 0.000, 0.000), Tb at (0.500, 0.500, 0.330) and Cu at (0.000, 0.000, 0.500).

As for the formation energy: 0.014 eV/atom. Its polymorph energy (0 for the lowest one) is 0.0000 eV/atom. Its total energy is -0.2753 Ry/atom.

---

Here is Sr3Tb3CuTe8 after structural relaxation from the Alexandria database. Energies are from PBE.

The structure belongs to space group C2/m (No. 12); the cell edges are 15.447, 8.924 and 9.168 Å and the angles 90.00°, 124.16° and 90.00°. The inequivalent atoms are Sr at (0.000, 0.000, 0.000), Sr at (0.250, 0.250, 0.000), Tb at (0.000, 0.500, 0.500), Tb at (0.250, 0.250, 0.500), Cu at (0.000, 0.000, 0.500), Te at (0.008, 0.244, 0.281), Te at (0.234, 0.000, 0.717) and Te at (0.244, 0.500, 0.732).

Its uncorrected formation energy is -1.277 eV/atom. Its total energy is -0.3299 Ry/atom.

---

Question: Which formula does entry 8 have?
Answer: SrTb2Cu

---

Copy entry 1 word for word.
Here is SrTaCu2Tc after structural relaxation from the Alexandria database. Energies are from PBE.

The structure belongs to space group P4/mmm (No. 123); the cell edges are 4.762, 4.762 and 4.980 Å and the angles 90.00°, 90.00° and 90.00°. The inequivalent atoms are Sr at (0.000, 0.000, 0.000), Ta at (0.500, 0.500, 0.000), Cu at (0.000, 0.500, 0.500) and Tc at (0.000, 0.000, 0.500).

As for the formation energy: 1.804 eV/atom. Its polymorph energy (0 for the lowest one) is 1.0008 eV/atom. Its total energy is -0.3392 Ry/atom.